The following is a GGA-PBEsol calculation of crystalline KTePt at its relaxed geometry, from Alexandria via LeMat-Bulk.

The value obtained for the formation energy from raw total energies is -50 kJ/mol of atoms. For the calculated volume, the calculation gives 87.3 Å³ per cell. Its magnetic moment is 0.0 μB/f.u. Its uncorrected energy is -4.39 eV per atom.

Unit cell a=4.4328 b=4.4328 c=5.1278 alpha=90.00 beta=90.00 gamma=120.00
Space group P-6m2 (No. 187)
Inequivalent atoms, fractional coordinates:
K  0.0000  0.0000  0.0000 x1
Te  0.6667  0.3333  0.5000 x1
Pt  0.3333  0.6667  0.5000 x1